Entry from Alexandria: a relaxed KTlCu2Cl8 crystal (PBE-GGA).

**Space group**: I-4 (82)
**Raw total energy**: -2.88 eV/atom

Cell lengths 9.445, 9.445, 9.445 Å; angles 141.42, 141.42, 55.70 degrees
Positions (direct):
K1 0.000 0.000 0.000
Tl1 0.250 0.750 0.500
Cu1 0.500 0.500 0.000
Cu2 0.750 0.250 0.500
Cl1 0.260 0.647 0.075
Cl2 0.353 0.428 0.613
Cl3 0.409 0.014 0.040
Cl4 0.572 0.185 0.925
Cl5 0.631 0.591 0.605
Cl6 0.815 0.740 0.387
Cl7 0.974 0.369 0.960
Cl8 0.986 0.026 0.395